{"formula": "Pm2DyErSc", "functional": "PBE", "state": "relaxed", "cell": [[6.4190, 0.0000, 0.0000], [0.0000, 6.4142, 0.0000], [0.0000, -3.2071, 7.9165]], "species": ["Dy", "Dy", "Sc", "Sc", "Pm", "Pm", "Pm", "Pm", "Er", "Er"], "frac_coords": [[0.7500, 0.3390, 0.6780], [0.2500, 0.6610, 0.3220], [0.7500, 0.1548, 0.3096], [0.2500, 0.8452, 0.6904], [0.5000, 0.7512, 0.0000], [0.0000, 0.7512, 0.0000], [0.0000, 0.2488, 0.0000], [0.5000, 0.2488, 0.0000], [0.7500, 0.7500, 0.5000], [0.2500, 0.2500, 0.5000]], "m_tot_mub_per_atom": 0.00, "formation_energy_ev_per_atom": 0.384}